! PBE-GGA Sr2Mg6CdGa, optimized geometry; values from VASP
! energy = -1.743 eV/atom
! energy of formation from the pure elements = -55 meV per atom
! mass density = 2.87 Mg/m³
! SG = Pmmn
&SYSTEM
  ibrav = 0, nat = 20, ntyp = 4
/
ATOMIC_SPECIES
Sr 87.62 Sr.upf
Mg 24.30 Mg.upf
Cd 112.41 Cd.upf
Ga 69.72 Ga.upf
ATOMIC_POSITIONS angstrom
Sr 2.010 0.177 1.688
Sr 2.010 4.791 1.688
Sr 6.029 5.145 5.610
Sr 6.029 9.759 5.610
Mg 0.475 2.484 6.494
Mg 0.547 7.452 3.962
Mg 2.010 0.020 5.280
Mg 2.010 4.948 5.280
Mg 3.472 7.452 3.962
Mg 3.544 2.484 6.494
Mg 4.494 7.452 0.805
Mg 4.566 2.484 3.337
Mg 6.029 4.988 2.018
Mg 6.029 9.915 2.018
Mg 7.491 2.484 3.337
Mg 7.563 7.452 0.805
Cd 2.010 7.452 6.690
Cd 6.029 2.484 0.608
Ga 2.010 2.484 4.037
Ga 6.029 7.452 3.261
CELL_PARAMETERS angstrom
8.038 0.000 0.000
0.000 9.935 0.000
0.000 0.000 7.298